1.
A relaxed structure of PSe2SN, computed with PBE.

## Properties
The total moment is 0.00 μB per formula unit. Its uncorrected formation energy is 0.804 eV per atom. The energy relative to the lowest polymorph listed for this composition comes out at 0.0 meV/atom.

a = 5.036 Å, b = 5.036 Å, c = 3.250 Å
α = 90.00°, β = 90.00°, γ = 90.00°
Fractional coordinates of all 5 atoms:
P  0.000  0.000  0.000
S  0.500  0.500  0.500
Se  0.000  0.500  0.000
Se  0.500  0.000  0.000
N  0.000  0.000  0.500

***

2.
A relaxed structure of PSeS2N, computed with PBE.

## Properties
The total moment is 0.00 μB per formula unit. Its uncorrected formation energy is 1.237 eV per atom. The energy relative to the lowest polymorph listed for this composition comes out at 506.1 meV/atom.

a = 4.213 Å, b = 4.213 Å, c = 4.188 Å
α = 90.00°, β = 90.00°, γ = 90.00°
Fractional coordinates of all 5 atoms:
P  0.000  0.000  0.500
S  0.000  0.500  0.000
S  0.500  0.000  0.000
Se  0.500  0.500  0.500
N  0.000  0.000  0.000

***

3.
A relaxed structure of PSeSN2, computed with PBE.

## Properties
The total moment is 0.36 μB per formula unit. Its uncorrected formation energy is 0.848 eV per atom. The energy relative to the lowest polymorph listed for this composition comes out at 0.0 meV/atom.

a = 3.393 Å, b = 3.393 Å, c = 6.344 Å
α = 90.00°, β = 90.00°, γ = 90.00°
Last column: magnetic moment on the atom in μB.
Fractional coordinates of all 5 atoms:
P  0.000  0.000  0.000  -0.01
S  0.500  0.500  0.500  0.00
Se  0.000  0.000  0.500  0.00
N  0.000  0.500  0.000  0.14
N  0.500  0.000  0.000  0.14

***

4.
A relaxed structure of SiPS2N, computed with PBE.

## Properties
The total moment is 0.00 μB per formula unit. Its uncorrected formation energy is 1.116 eV per atom. The energy relative to the lowest polymorph listed for this composition comes out at 556.9 meV/atom.

a = 4.364 Å, b = 4.364 Å, c = 3.806 Å
α = 90.00°, β = 90.00°, γ = 90.00°
Fractional coordinates of all 5 atoms:
P  0.000  0.000  0.500
S  0.000  0.500  0.000
S  0.500  0.000  0.000
Si  0.500  0.500  0.500
N  0.000  0.000  0.000

***

5.
A relaxed structure of SiPS2N, computed with PBE.

## Properties
The total moment is 1.69 μB per formula unit. Its uncorrected formation energy is 1.525 eV per atom. The energy relative to the lowest polymorph listed for this composition comes out at 965.9 meV/atom.

a = 4.459 Å, b = 4.459 Å, c = 4.711 Å
α = 90.00°, β = 90.00°, γ = 90.00°
Last column: magnetic moment on the atom in μB.
Fractional coordinates of all 5 atoms:
P  0.000  0.000  0.500  -0.41
S  0.000  0.500  0.000  0.04
S  0.500  0.000  0.000  0.04
Si  0.000  0.000  0.000  0.01
N  0.500  0.500  0.500  1.66

***

6.
A relaxed structure of SiPS2N, computed with PBE.

## Properties
The total moment is 0.00 μB per formula unit. Its uncorrected formation energy is 0.560 eV per atom. The energy relative to the lowest polymorph listed for this composition comes out at 0.0 meV/atom.

a = 4.698 Å, b = 3.318 Å, c = 4.698 Å
α = 90.00°, β = 90.00°, γ = 90.00°
Fractional coordinates of all 5 atoms:
P  0.500  0.500  0.500
S  0.000  0.000  0.500
S  0.500  0.000  0.000
Si  0.000  0.000  0.000
N  0.000  0.500  0.000

***

7.
A relaxed structure of SiPSN2, computed with PBE.

## Properties
The total moment is 0.00 μB per formula unit. Its uncorrected formation energy is 0.658 eV per atom. The energy relative to the lowest polymorph listed for this composition comes out at 0.0 meV/atom.

a = 3.383 Å, b = 3.383 Å, c = 7.522 Å
α = 90.00°, β = 90.00°, γ = 90.00°
Fractional coordinates of all 5 atoms:
P  0.500  0.500  0.500
S  0.000  0.000  0.500
Si  0.000  0.000  0.000
N  0.000  0.500  0.000
N  0.500  0.000  0.000

***

8.
A relaxed structure of SiPSN2, computed with PBE.

## Properties
The total moment is 0.22 μB per formula unit. Its uncorrected formation energy is 0.839 eV per atom. The energy relative to the lowest polymorph listed for this composition comes out at 181.2 meV/atom.

a = 3.455 Å, b = 3.455 Å, c = 4.744 Å
α = 90.00°, β = 90.00°, γ = 90.00°
Last column: magnetic moment on the atom in μB.
Fractional coordinates of all 5 atoms:
P  0.000  0.000  0.000  -0.01
S  0.000  0.000  0.500  0.00
Si  0.500  0.500  0.500  0.00
N  0.000  0.500  0.000  0.09
N  0.500  0.000  0.000  0.09

***

9.
A relaxed structure of SiPS2N, computed with PBE.

## Properties
The total moment is 0.00 μB per formula unit. Its uncorrected formation energy is 0.629 eV per atom. The energy relative to the lowest polymorph listed for this composition comes out at 69.4 meV/atom.

a = 4.660 Å, b = 4.660 Å, c = 3.297 Å
α = 90.00°, β = 90.00°, γ = 90.00°
Fractional coordinates of all 5 atoms:
P  0.000  0.000  0.000
S  0.000  0.500  0.000
S  0.500  0.000  0.000
Si  0.500  0.500  0.500
N  0.000  0.000  0.500

***

10.
A relaxed structure of Sm8P3S3N, computed with PBE.

## Properties
The total moment is 0.73 μB per formula unit. Its uncorrected formation energy is -1.632 eV per atom.

a = 8.040 Å, b = 8.040 Å, c = 8.003 Å
α = 120.15°, β = 90.00°, γ = 120.00°
Fractional coordinates of all 15 atoms:
Sm  0.248  0.495  0.243
Sm  0.752  0.505  0.757
Sm  0.772  0.545  0.270
Sm  0.228  0.455  0.730
Sm  0.772  0.997  0.270
Sm  0.228  0.003  0.730
Sm  0.225  0.997  0.270
Sm  0.775  0.003  0.730
P  0.000  0.000  0.000
P  0.000  0.500  0.000
P  0.500  0.500  0.000
S  0.500  0.000  0.500
S  0.500  0.500  0.500
S  0.000  0.500  0.500
N  0.000  0.000  0.500

***

11.
A relaxed structure of SnPS2N, computed with PBE.

## Properties
The total moment is 0.04 μB per formula unit. Its uncorrected formation energy is 1.259 eV per atom. The energy relative to the lowest polymorph listed for this composition comes out at 913.3 meV/atom.

a = 5.061 Å, b = 5.061 Å, c = 3.923 Å
α = 90.00°, β = 90.00°, γ = 90.00°
Fractional coordinates of all 5 atoms:
P  0.500  0.500  0.500
S  0.000  0.500  0.000
S  0.500  0.000  0.000
Sn  0.000  0.000  0.000
N  0.000  0.000  0.500

***

12.
A relaxed structure of SnPS2N, computed with PBE.

## Properties
The total moment is 1.44 μB per formula unit. Its uncorrected formation energy is 1.711 eV per atom. The energy relative to the lowest polymorph listed for this composition comes out at 1365.4 meV/atom.

a = 5.017 Å, b = 5.017 Å, c = 5.319 Å
α = 90.00°, β = 90.00°, γ = 90.00°
Last column: magnetic moment on the atom in μB.
Fractional coordinates of all 5 atoms:
P  0.000  0.000  0.500  -0.63
S  0.000  0.500  0.000  0.03
S  0.500  0.000  0.000  0.03
Sn  0.000  0.000  0.000  0.01
N  0.500  0.500  0.500  1.84

***

13.
A relaxed structure of SnPS2N, computed with PBE.

## Properties
The total moment is 0.00 μB per formula unit. Its uncorrected formation energy is 0.845 eV per atom. The energy relative to the lowest polymorph listed for this composition comes out at 499.2 meV/atom.

a = 4.556 Å, b = 4.556 Å, c = 3.925 Å
α = 90.00°, β = 90.00°, γ = 90.00°
Fractional coordinates of all 5 atoms:
P  0.000  0.000  0.500
S  0.000  0.500  0.000
S  0.500  0.000  0.000
Sn  0.500  0.500  0.500
N  0.000  0.000  0.000

***

14.
A relaxed structure of SnPS2N, computed with PBE.

## Properties
The total moment is 0.00 μB per formula unit. Its uncorrected formation energy is 0.346 eV per atom. The energy relative to the lowest polymorph listed for this composition comes out at 0.0 meV/atom.

a = 4.833 Å, b = 4.833 Å, c = 3.399 Å
α = 90.00°, β = 90.00°, γ = 90.00°
Fractional coordinates of all 5 atoms:
P  0.000  0.000  0.000
S  0.000  0.500  0.000
S  0.500  0.000  0.000
Sn  0.500  0.500  0.500
N  0.000  0.000  0.500

***

15.
A relaxed structure of SrPS2N, computed with PBE.

## Properties
The total moment is 2.00 μB per formula unit. Its uncorrected formation energy is 1.355 eV per atom. The energy relative to the lowest polymorph listed for this composition comes out at 1685.4 meV/atom.

a = 5.693 Å, b = 5.693 Å, c = 4.859 Å
α = 90.00°, β = 90.00°, γ = 90.00°
Last column: magnetic moment on the atom in μB.
Fractional coordinates of all 5 atoms:
Sr  0.000  0.000  0.000  0.02
S  0.000  0.500  0.000  0.49
S  0.500  0.000  0.000  0.49
N  0.000  0.000  0.500  1.49
P  0.500  0.500  0.500  -0.86

***

16.
A relaxed structure of SrPS2N, computed with PBE.

## Properties
The total moment is 0.00 μB per formula unit. Its uncorrected formation energy is -0.331 eV per atom. The energy relative to the lowest polymorph listed for this composition comes out at 0.0 meV/atom.

a = 4.921 Å, b = 4.921 Å, c = 3.482 Å
α = 90.00°, β = 90.00°, γ = 90.00°
Fractional coordinates of all 5 atoms:
Sr  0.500  0.500  0.500
S  0.000  0.500  0.000
S  0.500  0.000  0.000
N  0.000  0.000  0.500
P  0.000  0.000  0.000

***

17.
A relaxed structure of SrPSN2, computed with PBE.

## Properties
The total moment is 2.99 μB per formula unit. Its uncorrected formation energy is 1.868 eV per atom. The energy relative to the lowest polymorph listed for this composition comes out at 1656.4 meV/atom.

a = 4.803 Å, b = 4.803 Å, c = 5.874 Å
α = 90.00°, β = 90.00°, γ = 90.00°
Last column: magnetic moment on the atom in μB.
Fractional coordinates of all 5 atoms:
Sr  0.000  0.000  0.000  0.06
S  0.000  0.000  0.500  0.21
N  0.000  0.500  0.000  1.44
N  0.500  0.000  0.000  1.44
P  0.500  0.500  0.500  -0.80

***

18.
A relaxed structure of SrPS2N, computed with PBE.

## Properties
The total moment is 8.02 μB per formula unit. Its uncorrected formation energy is 1.596 eV per atom. The energy relative to the lowest polymorph listed for this composition comes out at 1926.3 meV/atom.

a = 5.791 Å, b = 5.791 Å, c = 6.645 Å
α = 90.00°, β = 90.00°, γ = 90.00°
Last column: magnetic moment on the atom in μB.
Fractional coordinates of all 5 atoms:
Sr  0.000  0.000  0.000  0.01
S  0.000  0.500  0.000  0.66
S  0.500  0.000  0.000  0.66
N  0.500  0.500  0.500  1.93
P  0.000  0.000  0.500  1.14

***

19.
A relaxed structure of SrPSN2, computed with PBE.

## Properties
The total moment is 0.75 μB per formula unit. Its uncorrected formation energy is 0.211 eV per atom. The energy relative to the lowest polymorph listed for this composition comes out at 0.0 meV/atom.

a = 3.812 Å, b = 3.812 Å, c = 4.786 Å
α = 90.00°, β = 90.00°, γ = 90.00°
Last column: magnetic moment on the atom in μB.
Fractional coordinates of all 5 atoms:
Sr  0.500  0.500  0.500  0.00
S  0.000  0.000  0.500  0.05
N  0.000  0.500  0.000  0.25
N  0.500  0.000  0.000  0.25
P  0.000  0.000  0.000  -0.01

***

20.
A relaxed structure of SrPS2N, computed with PBE.

## Properties
The total moment is 0.00 μB per formula unit. Its uncorrected formation energy is 0.089 eV per atom. The energy relative to the lowest polymorph listed for this composition comes out at 420.0 meV/atom.

a = 4.999 Å, b = 4.999 Å, c = 3.614 Å
α = 90.00°, β = 90.00°, γ = 90.00°
Fractional coordinates of all 5 atoms:
Sr  0.500  0.500  0.500
S  0.000  0.500  0.000
S  0.500  0.000  0.000
N  0.000  0.000  0.000
P  0.000  0.000  0.500